AcCdSbAu after structural relaxation. Source: the Alexandria database, functional PBE.

Values from the calculation:
ρ in g/cm3: 9.73
Total energy in Ry per atom: -0.26652
Formation energy (no corrections) in eV per formula unit: -2.08

Lattice parameters (Å, degrees): 7.6597 7.6597 7.6597 90.00 90.00 90.00
With the nearest neighbours (Å) after each atom.
Space group F-43m (No. 216)
Asymmetric unit:
Ac: 0.0000 0.0000 0.0000  4 Sb 3.32, 4 Au 3.32
Cd: 0.0000 0.0000 0.5000  4 Au 3.32, 4 Sb 3.32
Sb: 0.2500 0.2500 0.2500  4 Cd 3.32, 4 Ac 3.32
Au: 0.2500 0.2500 0.7500  4 Cd 3.32, 4 Ac 3.32



La4AsBr2N after structural relaxation. Source: the Alexandria database, functional PBE.

Values from the calculation:
ρ in g/cm3: 6.15
Total energy in Ry per atom: -0.43851
Formation energy (no corrections) in eV per formula unit: -11.70

Lattice parameters (Å, degrees): 7.2174 4.0458 7.8025 90.00 107.56 90.00
With the nearest neighbours (Å) after each atom.
Space group P2/m (No. 10)
Asymmetric unit:
La: 0.2008 0.0000 0.1902  2 N 2.66, 1 As 2.97
La: 0.2219 0.5000 0.8013  1 N 2.54
As: 0.5000 0.0000 0.0000  6 La 2.94-2.97
Br: 0.0000 0.0000 0.5000  6 La 3.15-3.17
Br: 0.5000 0.5000 0.5000  6 La 3.38-3.52
N: 0.0000 0.5000 0.0000  6 La 2.54-2.66



Tl2Ga4Se after structural relaxation. Source: the Alexandria database, functional PBE.

Values from the calculation:
ρ in g/cm3: 6.33
Total energy in Ry per atom: -0.19568
Formation energy (no corrections) in eV per formula unit: 1.69

Lattice parameters (Å, degrees): 5.2002 5.2002 14.8683 90.00 90.00 90.00
With the nearest neighbours (Å) after each atom.
Space group I4/mmm (No. 139)
Asymmetric unit:
Tl: 0.0000 0.0000 0.1205  5 Ga 2.93-3.16
Ga: 0.0000 0.0000 0.3176  1 Se 2.71, 1 Tl 2.93
Ga: 0.0000 0.5000 0.0000  2 Se 2.60
Se: 0.0000 0.0000 0.5000  6 Ga 2.60-2.71



Dy2TmCd after structural relaxation. Source: the Alexandria database, functional PBE.

Values from the calculation:
ρ in g/cm3: 8.14
Total energy in Ry per atom: -0.25675
E above lowest polymorph in eV/atom: 0.294
Calculated formation energy in eV/atom: 0.1545

Lattice parameters (Å, degrees): 3.4453 3.4453 36.0790 90.00 90.00 120.00
With the nearest neighbours (Å) after each atom.
Space group R-3m (No. 166, hexagonal axes)
Asymmetric unit:
Dy: 0.0000 0.0000 0.0891  1 Cd 3.22, 3 Tm 3.43, 6 Dy 3.45
Tm: 0.0000 0.0000 0.5000  6 Dy 3.43, 6 Tm 3.45
Cd: 0.0000 0.0000 0.0000  2 Dy 3.22, 6 Cd 3.45